# 1
Computed, not measured: a relaxed MgScAs crystal at the PBE-GGA level of DFT.

Computed properties:
energy above the most stable polymorph in this dataset: 142 meV per atom
V: 73 Å³ per cell
calculated formation energy: -1.66 eV/f.u.
N(E_F): 0.03 states/eV per atom

```
data_MgScAs
_cell_length_a 3.8837
_cell_length_b 3.8837
_cell_length_c 5.5718
_cell_angle_alpha 90.00
_cell_angle_beta 90.00
_cell_angle_gamma 120.00
_symmetry_space_group_name_H-M 'P 1'
_symmetry_Int_Tables_number 1
loop_
_symmetry_equiv_pos_as_xyz
'x,y,z'
loop_
_atom_site_label
_atom_site_fract_x
_atom_site_fract_y
_atom_site_fract_z
Mg1 0.0000 0.0000 0.0000
Sc1 0.6667 0.3333 0.4706
As1 0.3333 0.6667 0.7208
```

***

# 2
Computed, not measured: a relaxed Mg2ScAs2 crystal at the PBE-GGA level of DFT.

Computed properties:
V: 205 Å³ per cell
calculated formation energy: -2.92 eV/f.u.
N(E_F): 0.62 states/eV per atom

```
data_Mg2ScAs2
_cell_length_a 7.3291
_cell_length_b 7.3291
_cell_length_c 3.8146
_cell_angle_alpha 90.00
_cell_angle_beta 90.00
_cell_angle_gamma 90.00
_symmetry_space_group_name_H-M 'P 1'
_symmetry_Int_Tables_number 1
loop_
_symmetry_equiv_pos_as_xyz
'x,y,z'
loop_
_atom_site_label
_atom_site_fract_x
_atom_site_fract_y
_atom_site_fract_z
Mg1 0.1460 0.3540 0.0000
Mg2 0.3540 0.8540 0.0000
Mg3 0.6460 0.1460 0.0000
Mg4 0.8540 0.6460 0.0000
Sc1 0.0000 0.0000 0.5000
Sc2 0.5000 0.5000 0.5000
As1 0.1626 0.6626 0.5000
As2 0.3374 0.1626 0.5000
As3 0.6626 0.8374 0.5000
As4 0.8374 0.3374 0.5000
```

***

# 3
Computed, not measured: a relaxed Mg4ScAs crystal at the PBE-GGA level of DFT.

Computed properties:
V: 136 Å³ per cell
calculated formation energy: 0.70 eV/f.u.
N(E_F): 0.79 states/eV per atom

```
data_Mg4ScAs
_cell_length_a 5.7667
_cell_length_b 5.7667
_cell_length_c 5.7667
_cell_angle_alpha 60.00
_cell_angle_beta 60.00
_cell_angle_gamma 60.00
_symmetry_space_group_name_H-M 'P 1'
_symmetry_Int_Tables_number 1
loop_
_symmetry_equiv_pos_as_xyz
'x,y,z'
loop_
_atom_site_label
_atom_site_fract_x
_atom_site_fract_y
_atom_site_fract_z
Mg1 0.1246 0.1246 0.1246
Mg2 0.1246 0.1246 0.6262
Mg3 0.1246 0.6262 0.1246
Mg4 0.6262 0.1246 0.1246
Sc1 0.7500 0.7500 0.7500
As1 0.5000 0.5000 0.5000
```

***

# 4
Computed, not measured: a relaxed MgScAs crystal at the PBE-GGA level of DFT.

Computed properties:
energy above the most stable polymorph in this dataset: 461 meV per atom
V: 281 Å³ per cell
calculated formation energy: -0.70 eV/f.u.
N(E_F): 0.57 states/eV per atom

```
data_MgScAs
_cell_length_a 6.5485
_cell_length_b 6.5485
_cell_length_c 6.5485
_cell_angle_alpha 90.00
_cell_angle_beta 90.00
_cell_angle_gamma 90.00
_symmetry_space_group_name_H-M 'P 1'
_symmetry_Int_Tables_number 1
loop_
_symmetry_equiv_pos_as_xyz
'x,y,z'
loop_
_atom_site_label
_atom_site_fract_x
_atom_site_fract_y
_atom_site_fract_z
Mg1 0.0000 0.0000 0.0000
Mg2 0.0000 0.5000 0.5000
Mg3 0.5000 0.0000 0.5000
Mg4 0.5000 0.5000 0.0000
Sc1 0.2500 0.2500 0.2500
Sc2 0.2500 0.7500 0.7500
Sc3 0.7500 0.2500 0.7500
Sc4 0.7500 0.7500 0.2500
As1 0.0000 0.0000 0.5000
As2 0.0000 0.5000 0.0000
As3 0.5000 0.0000 0.0000
As4 0.5000 0.5000 0.5000
```

***

# 5
Computed, not measured: a relaxed MgScAs crystal at the PBE-GGA level of DFT.

Computed properties:
energy above the most stable polymorph in this dataset: 187 meV per atom
V: 261 Å³ per cell
calculated formation energy: -1.52 eV/f.u.
N(E_F): 0.45 states/eV per atom

```
data_MgScAs
_cell_length_a 4.1890
_cell_length_b 5.3982
_cell_length_c 11.5511
_cell_angle_alpha 90.00
_cell_angle_beta 90.00
_cell_angle_gamma 90.00
_symmetry_space_group_name_H-M 'P 1'
_symmetry_Int_Tables_number 1
loop_
_symmetry_equiv_pos_as_xyz
'x,y,z'
loop_
_atom_site_label
_atom_site_fract_x
_atom_site_fract_y
_atom_site_fract_z
Mg1 0.0000 0.0000 0.0000
Mg2 0.0000 0.5000 0.5000
Mg3 0.5000 0.0000 0.5000
Mg4 0.5000 0.5000 0.0000
Sc1 0.0000 0.0000 0.7110
Sc2 0.0000 0.5000 0.2110
Sc3 0.5000 0.0000 0.2110
Sc4 0.5000 0.5000 0.7110
As1 0.0000 0.0000 0.3455
As2 0.0000 0.5000 0.8455
As3 0.5000 0.0000 0.8455
As4 0.5000 0.5000 0.3455
```

***

# 6
Computed, not measured: a relaxed MgSc3As crystal at the PBE-GGA level of DFT.

Computed properties:
energy above the most stable polymorph in this dataset: 0 meV per atom
V: 132 Å³ per cell
calculated formation energy: -1.58 eV/f.u.
N(E_F): 1.32 states/eV per atom

```
data_MgSc3As
_cell_length_a 5.0877
_cell_length_b 5.0877
_cell_length_c 5.0877
_cell_angle_alpha 90.00
_cell_angle_beta 90.00
_cell_angle_gamma 90.00
_symmetry_space_group_name_H-M 'P 1'
_symmetry_Int_Tables_number 1
loop_
_symmetry_equiv_pos_as_xyz
'x,y,z'
loop_
_atom_site_label
_atom_site_fract_x
_atom_site_fract_y
_atom_site_fract_z
Mg1 0.0000 0.0000 0.0000
Sc1 0.0000 0.5000 0.5000
Sc2 0.5000 0.0000 0.5000
Sc3 0.5000 0.5000 0.0000
As1 0.5000 0.5000 0.5000
```

***

Look up the calculated formation energy of the fifth one.
-1.52 eV/f.u.